Record 1
A geometry-optimized Co4Sn structure, computed with GGA-PBE. Values from VASP.

```
&SYSTEM
  ibrav = 0, nat = 5, ntyp = 2
/
ATOMIC_SPECIES
Co 58.93 Co.upf
Sn 118.71 Sn.upf
CELL_PARAMETERS angstrom
-4.060 -0.724 -2.054
1.441 -4.151 -1.386
-1.633 -1.863 3.884
ATOMIC_POSITIONS crystal
Co 0.000 0.000 0.000
Co 0.500 0.000 0.500
Co 0.000 0.500 0.500
Co 0.500 0.500 0.000
Sn 0.500 0.500 0.500
```


Record 2
A geometry-optimized CoSn structure, computed with GGA-PBE. Values from VASP.

```
&SYSTEM
  ibrav = 0, nat = 16, ntyp = 2
/
ATOMIC_SPECIES
Co 58.93 Co.upf
Sn 118.71 Sn.upf
CELL_PARAMETERS angstrom
8.968 0.000 0.000
0.000 8.968 0.000
0.000 0.000 3.817
ATOMIC_POSITIONS crystal
Co 0.403 0.090 0.000
Co 0.597 0.910 0.000
Co 0.910 0.403 0.000
Co 0.090 0.597 0.000
Co 0.903 0.590 0.500
Co 0.097 0.410 0.500
Co 0.410 0.903 0.500
Co 0.590 0.097 0.500
Sn 0.212 0.879 0.000
Sn 0.788 0.121 0.000
Sn 0.121 0.212 0.000
Sn 0.879 0.788 0.000
Sn 0.712 0.379 0.500
Sn 0.288 0.621 0.500
Sn 0.621 0.712 0.500
Sn 0.379 0.288 0.500
```


Record 3
A geometry-optimized Co3Sn2 structure, computed with GGA-PBE. Values from VASP.

```
&SYSTEM
  ibrav = 0, nat = 20, ntyp = 2
/
ATOMIC_SPECIES
Co 58.93 Co.upf
Sn 118.71 Sn.upf
CELL_PARAMETERS angstrom
-0.538 4.944 1.635
-6.979 -0.784 0.073
0.364 -2.522 7.743
ATOMIC_POSITIONS crystal
Co 0.750 0.586 0.625
Co 0.750 0.086 0.875
Co 0.250 0.414 0.375
Co 0.250 0.914 0.125
Co 0.991 0.267 0.622
Co 0.509 0.767 0.878
Co 0.491 0.733 0.378
Co 0.009 0.233 0.122
Co 0.009 0.733 0.378
Co 0.491 0.233 0.122
Co 0.509 0.267 0.622
Co 0.991 0.767 0.878
Sn 0.750 0.900 0.149
Sn 0.750 0.400 0.351
Sn 0.250 0.100 0.851
Sn 0.250 0.600 0.649
Sn 0.750 0.940 0.593
Sn 0.750 0.440 0.907
Sn 0.250 0.060 0.407
Sn 0.250 0.560 0.093
```


Record 4
A geometry-optimized Co5Sn structure, computed with GGA-PBE. Values from VASP.

```
&SYSTEM
  ibrav = 0, nat = 6, ntyp = 2
/
ATOMIC_SPECIES
Co 58.93 Co.upf
Sn 118.71 Sn.upf
CELL_PARAMETERS angstrom
-3.550 -0.317 -0.837
-0.537 -2.004 3.039
-0.807 5.577 1.307
ATOMIC_POSITIONS crystal
Co 0.500 0.822 0.644
Co 0.000 0.679 0.358
Co 0.500 0.500 0.000
Co 0.000 0.321 0.642
Co 0.500 0.178 0.356
Sn 0.000 0.000 0.000
```


Record 5
A geometry-optimized CoSn4 structure, computed with GGA-PBE. Values from VASP.

```
&SYSTEM
  ibrav = 0, nat = 10, ntyp = 2
/
ATOMIC_SPECIES
Co 58.93 Co.upf
Sn 118.71 Sn.upf
CELL_PARAMETERS angstrom
5.784 0.000 0.000
0.000 6.256 0.000
0.000 0.000 6.256
ATOMIC_POSITIONS crystal
Co 0.000 0.500 0.500
Co 0.000 0.000 0.000
Sn 0.252 0.687 0.813
Sn 0.252 0.813 0.313
Sn 0.748 0.187 0.313
Sn 0.748 0.813 0.687
Sn 0.748 0.687 0.187
Sn 0.748 0.313 0.813
Sn 0.252 0.313 0.187
Sn 0.252 0.187 0.687
```


Record 6
A geometry-optimized CoSn structure, computed with GGA-PBE. Values from VASP.

```
&SYSTEM
  ibrav = 0, nat = 12, ntyp = 2
/
ATOMIC_SPECIES
Co 58.93 Co.upf
Sn 118.71 Sn.upf
CELL_PARAMETERS angstrom
-0.124 -3.816 -1.234
7.829 -0.797 1.679
-1.443 -1.846 5.855
ATOMIC_POSITIONS crystal
Co 0.500 0.807 0.530
Co 0.500 0.193 0.530
Co 0.500 0.307 0.030
Co 0.500 0.693 0.030
Co 0.000 0.000 0.575
Co 0.000 0.500 0.075
Sn 0.000 0.309 0.747
Sn 0.000 0.691 0.747
Sn 0.000 0.809 0.247
Sn 0.000 0.191 0.247
Sn 0.500 0.000 0.873
Sn 0.500 0.500 0.373
```


Record 7
A geometry-optimized CoSn structure, computed with GGA-PBE. Values from VASP.

```
&SYSTEM
  ibrav = 0, nat = 12, ntyp = 2
/
ATOMIC_SPECIES
Co 58.93 Co.upf
Sn 118.71 Sn.upf
CELL_PARAMETERS angstrom
6.993 0.000 0.000
0.000 6.993 0.000
0.000 0.000 6.993
ATOMIC_POSITIONS crystal
Co 0.250 0.000 0.500
Co 0.750 0.000 0.500
Co 0.000 0.500 0.250
Co 0.000 0.500 0.750
Co 0.500 0.250 0.000
Co 0.500 0.750 0.000
Sn 0.250 0.500 0.000
Sn 0.750 0.500 0.000
Sn 0.500 0.000 0.250
Sn 0.500 0.000 0.750
Sn 0.000 0.250 0.500
Sn 0.000 0.750 0.500
```


Record 8
A geometry-optimized Co6Sn structure, computed with GGA-PBE. Values from VASP.

```
&SYSTEM
  ibrav = 0, nat = 7, ntyp = 2
/
ATOMIC_SPECIES
Co 58.93 Co.upf
Sn 118.71 Sn.upf
CELL_PARAMETERS angstrom
-2.003 -4.776 0.736
4.195 -0.328 -3.108
1.401 2.033 4.612
ATOMIC_POSITIONS crystal
Co 0.250 0.750 0.500
Co 0.500 0.750 0.250
Co 0.250 0.500 0.750
Co 0.750 0.250 0.500
Co 0.500 0.250 0.750
Co 0.750 0.500 0.250
Sn 0.000 0.000 0.000
```


Record 9
A geometry-optimized CoSn structure, computed with GGA-PBE. Values from VASP.

```
&SYSTEM
  ibrav = 0, nat = 12, ntyp = 2
/
ATOMIC_SPECIES
Co 58.93 Co.upf
Sn 118.71 Sn.upf
CELL_PARAMETERS angstrom
-0.052 -3.266 -2.310
1.136 -3.606 5.072
-8.426 -0.798 1.320
ATOMIC_POSITIONS crystal
Co 0.000 0.105 0.789
Co 0.500 0.895 0.711
Co 0.500 0.895 0.289
Co 0.000 0.105 0.211
Co 0.000 0.340 0.000
Co 0.500 0.660 0.500
Sn 0.000 0.671 0.817
Sn 0.500 0.329 0.683
Sn 0.500 0.329 0.317
Sn 0.000 0.671 0.183
Sn 0.000 0.948 0.500
Sn 0.500 0.052 0.000
```


Record 10
A geometry-optimized CoSn4 structure, computed with GGA-PBE. Values from VASP.

```
&SYSTEM
  ibrav = 0, nat = 5, ntyp = 2
/
ATOMIC_SPECIES
Co 58.93 Co.upf
Sn 118.71 Sn.upf
CELL_PARAMETERS angstrom
4.992 0.000 0.000
0.000 4.992 0.000
0.000 0.000 4.992
ATOMIC_POSITIONS crystal
Co 0.500 0.500 0.500
Sn 0.000 0.000 0.000
Sn 0.500 0.000 0.500
Sn 0.000 0.500 0.500
Sn 0.500 0.500 0.000
```


Record 11
A geometry-optimized Co2Sn structure, computed with GGA-PBE. Values from VASP.

```
&SYSTEM
  ibrav = 0, nat = 6, ntyp = 2
/
ATOMIC_SPECIES
Co 58.93 Co.upf
Sn 118.71 Sn.upf
CELL_PARAMETERS angstrom
2.152 -3.728 0.000
2.152 3.728 0.000
0.000 0.000 5.211
ATOMIC_POSITIONS crystal
Co 0.333 0.667 0.750
Co 0.000 0.000 0.000
Co 0.000 0.000 0.500
Co 0.667 0.333 0.250
Sn 0.667 0.333 0.750
Sn 0.333 0.667 0.250
```


Record 12
A geometry-optimized Co2Sn13 structure, computed with GGA-PBE. Values from VASP.

```
&SYSTEM
  ibrav = 0, nat = 15, ntyp = 2
/
ATOMIC_SPECIES
Co 58.93 Co.upf
Sn 118.71 Sn.upf
CELL_PARAMETERS angstrom
6.921 0.237 -0.750
-0.936 6.743 -1.448
-1.721 -5.236 9.792
ATOMIC_POSITIONS crystal
Co 0.770 0.836 0.730
Co 0.230 0.164 0.270
Sn 0.654 0.556 0.166
Sn 0.346 0.444 0.834
Sn 0.000 0.000 0.000
Sn 0.079 0.921 0.668
Sn 0.921 0.079 0.332
Sn 0.925 0.453 0.661
Sn 0.075 0.547 0.339
Sn 0.533 0.654 0.439
Sn 0.467 0.346 0.561
Sn 0.480 0.921 0.840
Sn 0.520 0.079 0.160
Sn 0.798 0.299 0.844
Sn 0.202 0.701 0.156
```


Record 13
A geometry-optimized CoSn2 structure, computed with GGA-PBE. Values from VASP.

```
&SYSTEM
  ibrav = 0, nat = 6, ntyp = 2
/
ATOMIC_SPECIES
Co 58.93 Co.upf
Sn 118.71 Sn.upf
CELL_PARAMETERS angstrom
5.269 0.012 0.000
-2.426 4.678 0.000
-1.422 -2.345 4.500
ATOMIC_POSITIONS crystal
Co 0.750 0.750 0.000
Co 0.250 0.250 0.000
Sn 0.666 0.166 0.833
Sn 0.334 0.834 0.167
Sn 0.834 0.666 0.500
Sn 0.166 0.334 0.500
```


Record 14
A geometry-optimized CoSn structure, computed with GGA-PBE. Values from VASP.

```
&SYSTEM
  ibrav = 0, nat = 32, ntyp = 2
/
ATOMIC_SPECIES
Co 58.93 Co.upf
Sn 118.71 Sn.upf
CELL_PARAMETERS angstrom
7.628 0.000 0.000
0.000 12.735 0.000
0.000 0.000 6.145
ATOMIC_POSITIONS crystal
Co 0.000 0.907 0.000
Co 0.000 0.093 0.000
Co 0.250 0.843 0.250
Co 0.250 0.657 0.250
Co 0.000 0.407 0.500
Co 0.000 0.593 0.500
Co 0.250 0.343 0.750
Co 0.250 0.157 0.750
Co 0.500 0.907 0.500
Co 0.500 0.093 0.500
Co 0.750 0.843 0.750
Co 0.750 0.657 0.750
Co 0.500 0.407 0.000
Co 0.500 0.593 0.000
Co 0.750 0.343 0.250
Co 0.750 0.157 0.250
Sn 0.311 0.000 0.000
Sn 0.689 0.000 0.000
Sn 0.939 0.750 0.250
Sn 0.561 0.750 0.250
Sn 0.311 0.500 0.500
Sn 0.689 0.500 0.500
Sn 0.939 0.250 0.750
Sn 0.561 0.250 0.750
Sn 0.811 0.000 0.500
Sn 0.189 0.000 0.500
Sn 0.439 0.750 0.750
Sn 0.061 0.750 0.750
Sn 0.811 0.500 0.000
Sn 0.189 0.500 0.000
Sn 0.439 0.250 0.250
Sn 0.061 0.250 0.250
```


Record 15
A geometry-optimized CoSn structure, computed with GGA-PBE. Values from VASP.

```
&SYSTEM
  ibrav = 0, nat = 8, ntyp = 2
/
ATOMIC_SPECIES
Co 58.93 Co.upf
Sn 118.71 Sn.upf
CELL_PARAMETERS angstrom
-2.625 -3.703 -2.401
3.889 -0.621 -3.294
2.121 -3.561 3.175
ATOMIC_POSITIONS crystal
Co 0.294 0.706 0.000
Co 0.794 0.794 0.500
Co 0.206 0.206 0.500
Co 0.706 0.294 0.000
Sn 0.213 0.213 0.000
Sn 0.713 0.287 0.500
Sn 0.287 0.713 0.500
Sn 0.787 0.787 0.000
```


Record 16
A geometry-optimized CoSn2 structure, computed with GGA-PBE. Values from VASP.

```
&SYSTEM
  ibrav = 0, nat = 6, ntyp = 2
/
ATOMIC_SPECIES
Co 58.93 Co.upf
Sn 118.71 Sn.upf
CELL_PARAMETERS angstrom
3.361 0.000 0.000
-1.681 2.911 0.000
0.000 0.000 12.310
ATOMIC_POSITIONS crystal
Co 0.000 0.000 0.250
Co 0.000 0.000 0.750
Sn 0.667 0.333 0.393
Sn 0.333 0.667 0.893
Sn 0.333 0.667 0.607
Sn 0.667 0.333 0.107
```


Record 17
A geometry-optimized Co2Sn structure, computed with GGA-PBE. Values from VASP.

```
&SYSTEM
  ibrav = 0, nat = 6, ntyp = 2
/
ATOMIC_SPECIES
Co 58.93 Co.upf
Sn 118.71 Sn.upf
CELL_PARAMETERS angstrom
4.966 0.000 0.000
2.483 4.301 0.000
2.483 1.434 4.055
ATOMIC_POSITIONS crystal
Co 0.125 0.625 0.625
Co 0.625 0.125 0.625
Co 0.625 0.625 0.625
Co 0.625 0.625 0.125
Sn 0.000 0.000 0.000
Sn 0.250 0.250 0.250
```


Record 18
A geometry-optimized CoSn structure, computed with GGA-PBE. Values from VASP.

```
&SYSTEM
  ibrav = 0, nat = 8, ntyp = 2
/
ATOMIC_SPECIES
Co 58.93 Co.upf
Sn 118.71 Sn.upf
CELL_PARAMETERS angstrom
3.323 0.000 -0.012
0.000 5.400 0.000
-3.305 0.000 7.603
ATOMIC_POSITIONS crystal
Co 0.000 0.750 0.000
Co 0.000 0.250 0.000
Co 0.000 0.250 0.500
Co 0.000 0.750 0.500
Sn 0.292 0.000 0.792
Sn 0.708 0.000 0.208
Sn 0.292 0.500 0.292
Sn 0.708 0.500 0.708
```


Record 19
A geometry-optimized CoSn structure, computed with GGA-PBE. Values from VASP.

```
&SYSTEM
  ibrav = 0, nat = 16, ntyp = 2
/
ATOMIC_SPECIES
Co 58.93 Co.upf
Sn 118.71 Sn.upf
CELL_PARAMETERS angstrom
-1.505 3.485 -7.145
2.066 -6.851 -3.777
-3.940 -1.297 0.197
ATOMIC_POSITIONS crystal
Co 0.178 0.831 0.000
Co 0.822 0.169 0.000
Co 0.169 0.178 0.000
Co 0.831 0.822 0.000
Co 0.678 0.331 0.500
Co 0.322 0.669 0.500
Co 0.669 0.678 0.500
Co 0.331 0.322 0.500
Sn 0.502 0.232 0.000
Sn 0.498 0.768 0.000
Sn 0.768 0.502 0.000
Sn 0.232 0.498 0.000
Sn 0.002 0.732 0.500
Sn 0.998 0.268 0.500
Sn 0.268 0.002 0.500
Sn 0.732 0.998 0.500
```


Record 20
A geometry-optimized SrCoSn2 structure, computed with GGA-PBE. Values from VASP.

```
&SYSTEM
  ibrav = 0, nat = 8, ntyp = 3
/
ATOMIC_SPECIES
Sr 87.62 Sr.upf
Co 58.93 Co.upf
Sn 118.71 Sn.upf
CELL_PARAMETERS angstrom
-2.031 4.292 2.975
1.714 -2.468 4.730
6.920 4.677 3.252
ATOMIC_POSITIONS crystal
Sr 0.000 0.000 0.000
Sr 0.750 0.250 0.500
Co 0.500 0.500 0.000
Co 0.250 0.750 0.500
Sn 0.432 0.125 0.250
Sn 0.318 0.625 0.250
Sn 0.375 0.568 0.750
Sn 0.875 0.682 0.750
```


| no. | spin magnetization (Bohr magnetons per cell) | DFT total energy (hartree per atom) |
| --- | --- | --- |
| 1 | 6.33 | -0.174 |
| 2 | 7.15 | -0.198 |
| 3 | 4.19 | -0.216 |
| 4 | 6.53 | -0.240 |
| 5 | 0.00 | -0.171 |
| 6 | 3.52 | -0.201 |
| 7 | 0.00 | -0.174 |
| 8 | 1.59 | -0.210 |
| 9 | 5.72 | -0.200 |
| 10 | 0.00 | -0.166 |
| 11 | 3.38 | -0.218 |
| 12 | 0.00 | -0.162 |
| 13 | 0.00 | -0.188 |
| 14 | 15.92 | -0.192 |
| 15 | 0.00 | -0.192 |
| 16 | 1.17 | -0.180 |
| 17 | 6.13 | -0.216 |
| 18 | 1.12 | -0.199 |
| 19 | 0.00 | -0.198 |
| 20 | 1.51 | -0.154 |